Material: Mg3InSe4
Method: DFT, PBE-GGA
State: relaxed

Values from the calculation:
The formation energy without anion corrections comes out at -0.98 eV per atom. As for the space group: No. 215.

Cell: 6.143 6.143 6.143 Å, 90.00 90.00 90.00°
Sites, in units of the cell vectors:
1 Mg 0.000 0.000 0.500
2 Mg 0.000 0.500 0.000
3 Mg 0.500 0.000 0.000
4 In 0.500 0.500 0.500
5 Se 0.236 0.236 0.764
6 Se 0.236 0.764 0.236
7 Se 0.764 0.236 0.236
8 Se 0.764 0.764 0.764

---

Material: Mg2In2Se5
Method: DFT, PBE-GGA
State: relaxed

Values from the calculation:
The formation energy without anion corrections comes out at -0.74 eV per atom. As for the space group: No. 12.

Cell: 10.392 10.392 6.906 Å, 105.76 105.76 22.67°
Sites, in units of the cell vectors:
1 Mg 0.075 0.075 0.278
2 Mg 0.925 0.925 0.722
3 In 0.373 0.373 0.109
4 In 0.627 0.627 0.891
5 Se 0.179 0.179 0.116
6 Se 0.395 0.395 0.485
7 Se 0.500 0.500 0.000
8 Se 0.605 0.605 0.515
9 Se 0.821 0.821 0.884

---

Material: MgIn2Se
Method: DFT, PBE-GGA
State: relaxed

Values from the calculation:
The formation energy without anion corrections comes out at -0.05 eV per atom. As for the space group: No. 216.

Cell: 5.204 5.204 5.204 Å, 60.00 60.00 60.00°
Sites, in units of the cell vectors:
1 Mg 0.000 0.000 0.000
2 In 0.250 0.250 0.250
3 In 0.500 0.500 0.500
4 Se 0.750 0.750 0.750

---

Material: MgIn2Se
Method: DFT, PBE-GGA
State: relaxed

Values from the calculation:
The formation energy without anion corrections comes out at -0.17 eV per atom. As for the space group: No. 65.

Cell: 5.212 5.212 3.886 Å, 90.00 90.00 108.42°
Sites, in units of the cell vectors:
1 Mg 0.000 0.000 0.000
2 In 0.000 0.500 0.500
3 In 0.500 0.000 0.500
4 Se 0.500 0.500 0.000

---

Material: MgInSe2
Method: DFT, PBE-GGA
State: relaxed

Values from the calculation:
The formation energy without anion corrections comes out at -0.69 eV per atom. As for the space group: No. 160.

Cell: 7.453 7.453 7.453 Å, 30.67 30.67 30.67°
Sites, in units of the cell vectors:
1 Mg 0.000 0.000 0.000
2 In 0.832 0.832 0.832
3 Se 0.254 0.254 0.254
4 Se 0.411 0.411 0.411

---

Material: MgInSe
Method: DFT, PBE-GGA
State: relaxed

Values from the calculation:
The formation energy without anion corrections comes out at -0.52 eV per atom. As for the space group: No. 156.

Cell: 3.964 3.964 5.612 Å, 90.00 90.00 120.00°
Sites, in units of the cell vectors:
1 Mg 0.000 0.000 0.000
2 In 0.333 0.667 0.608
3 Se 0.667 0.333 0.232

---

Material: MgIn2Se
Method: DFT, PBE-GGA
State: relaxed

Values from the calculation:
The formation energy without anion corrections comes out at -0.31 eV per atom. As for the space group: No. 12.

Cell: 6.310 6.310 4.185 Å, 108.48 108.48 125.13°
Sites, in units of the cell vectors:
1 Mg 0.000 0.000 0.000
2 In 0.000 0.500 0.500
3 In 0.500 0.000 0.500
4 Se 0.500 0.500 0.000

---

Material: MgIn2Se
Method: DFT, PBE-GGA
State: relaxed

Values from the calculation:
The formation energy without anion corrections comes out at -0.32 eV per atom. As for the space group: No. 71.

Cell: 7.998 7.998 7.998 Å, 153.10 152.61 38.77°
Sites, in units of the cell vectors:
1 Mg 0.000 0.000 0.000
2 In 0.188 0.688 0.500
3 In 0.812 0.312 0.500
4 Se 0.500 0.500 0.000